First-principles (PBE-GGA) data for a relaxed structure of NpNiIr, as listed in the Alexandria database.

```
NpNiIr
1.0
3.0378 0.0000 0.0000
0.0000 4.3980 0.0000
0.0000 -2.1990 3.8088
Ir Ni Np
1 1 1
direct
0.1666 0.0000 0.0000
0.1667 0.6667 0.3333
0.6667 0.3333 0.6667
```

DOS at the Fermi energy	7.4	states/eV per cell
energy of formation from the pure elements	-0.1058	eV/atom
uncorrected energy	-27.9	eV for the cell shown
spin magnetization	2.791	μB per formula unit